No. 1
Computed, not measured: a relaxed Nd2CuNi2Pt5 crystal at the PBE level of DFT. Values from VASP.

```
&SYSTEM
  ibrav = 0, nat = 20, ntyp = 4
/
ATOMIC_SPECIES
Nd 144.24 Nd.upf
Cu 63.55 Cu.upf
Ni 58.69 Ni.upf
Pt 195.08 Pt.upf
CELL_PARAMETERS angstrom
9.296 0.000 0.000
0.000 9.296 0.000
0.000 0.000 3.977
ATOMIC_POSITIONS crystal
Nd 0.179 0.321 0.000
Nd 0.321 0.821 0.000
Nd 0.679 0.179 0.000
Nd 0.821 0.679 0.000
Cu 0.000 0.000 0.000
Cu 0.500 0.500 0.000
Ni 0.120 0.620 0.000
Ni 0.380 0.120 0.000
Ni 0.620 0.880 0.000
Ni 0.880 0.380 0.000
Pt 0.000 0.500 0.500
Pt 0.063 0.796 0.500
Pt 0.204 0.063 0.500
Pt 0.296 0.563 0.500
Pt 0.437 0.296 0.500
Pt 0.500 0.000 0.500
Pt 0.563 0.704 0.500
Pt 0.704 0.437 0.500
Pt 0.796 0.937 0.500
Pt 0.937 0.204 0.500
```

Output
The value obtained for the formation energy is -63.0 kJ/mol of atoms. Its density of states at the Fermi level is 10.49 states/eV/f.u.

---

No. 2
Computed, not measured: a relaxed NdCuNiPt3 crystal at the PBE level of DFT. Values from VASP.

```
&SYSTEM
  ibrav = 0, nat = 12, ntyp = 4
/
ATOMIC_SPECIES
Nd 144.24 Nd.upf
Cu 63.55 Cu.upf
Ni 58.69 Ni.upf
Pt 195.08 Pt.upf
CELL_PARAMETERS angstrom
3.153 -6.161 0.000
3.153 6.161 0.000
0.000 0.000 5.491
ATOMIC_POSITIONS crystal
Nd 0.205 0.795 0.750
Nd 0.795 0.205 0.250
Cu 0.150 0.850 0.250
Cu 0.850 0.150 0.750
Ni 0.422 0.578 0.750
Ni 0.578 0.422 0.250
Pt 0.209 0.209 0.000
Pt 0.209 0.209 0.500
Pt 0.354 0.646 0.250
Pt 0.646 0.354 0.750
Pt 0.791 0.791 0.000
Pt 0.791 0.791 0.500
```

Output
The value obtained for the formation energy is -34.6 kJ/mol of atoms. Its density of states at the Fermi level is 4.02 states/eV/f.u.

---

Which formula does entry 1 have? Nd2CuNi2Pt5